# HfAlGe, optimized geometry, DFT GGA-PBE
data_HfAlGe
_symmetry_space_group_name_H-M 'P -6 m 2'
_symmetry_Int_Tables_number 187
_symmetry_space_group_name_Hall 'P -6 2'
_cell_length_a 4.5780
_cell_length_b 4.5780
_cell_length_c 2.9566
_cell_angle_alpha 90.00
_cell_angle_beta 90.00
_cell_angle_gamma 120.00
loop_
_atom_site_label
_atom_site_fract_x
_atom_site_fract_y
_atom_site_fract_z
Hf1 0.0000 0.0000 0.0000
Al1 0.3333 0.6667 0.5000
Ge1 0.6667 0.3333 0.5000
# D(E_F) in states/eV per cell: 2.59
# ΔH_f (0 K) in eV/atom: -0.161

=====

# Hf3AlGe, optimized geometry, DFT GGA-PBE
data_Hf3AlGe
_symmetry_space_group_name_H-M 'P m -3 m'
_symmetry_Int_Tables_number 221
_symmetry_space_group_name_Hall '-P 4 2 3'
_cell_length_a 4.9174
_cell_length_b 4.9174
_cell_length_c 4.9174
_cell_angle_alpha 90.00
_cell_angle_beta 90.00
_cell_angle_gamma 90.00
loop_
_atom_site_label
_atom_site_fract_x
_atom_site_fract_y
_atom_site_fract_z
Hf1 0.0000 0.0000 0.5000
Al1 0.5000 0.5000 0.5000
Ge1 0.0000 0.0000 0.0000
# Energy relative to the lowest polymorph listed for this composition in kJ per mole of atoms: 62.9
# D(E_F) in states/eV per cell: 3.79
# ΔH_f (0 K) in eV/atom: 0.338

=====

# Hf2Al4Ge, optimized geometry, DFT GGA-PBE
data_Hf2Al4Ge
_symmetry_space_group_name_H-M 'I 4/m m m'
_symmetry_Int_Tables_number 139
_symmetry_space_group_name_Hall '-I 4 2'
_cell_length_a 4.9173
_cell_length_b 4.9173
_cell_length_c 13.5029
_cell_angle_alpha 90.00
_cell_angle_beta 90.00
_cell_angle_gamma 90.00
loop_
_atom_site_label
_atom_site_fract_x
_atom_site_fract_y
_atom_site_fract_z
Hf1 0.0000 0.0000 0.1087
Al1 0.0000 0.0000 0.3186
Al2 0.0000 0.5000 0.0000
Ge1 0.0000 0.0000 0.5000
# D(E_F) in states/eV per cell: 7.74
# ΔH_f (0 K) in eV/atom: 0.566

=====

# Hf2AlGe, optimized geometry, DFT GGA-PBE
data_Hf2AlGe
_symmetry_space_group_name_H-M 'P 1 21/m 1'
_symmetry_Int_Tables_number 11
_cell_length_a 5.4273
_cell_length_b 3.8338
_cell_length_c 7.6941
_cell_angle_alpha 90.00
_cell_angle_beta 110.39
_cell_angle_gamma 90.00
loop_
_symmetry_equiv_pos_as_xyz
'x,y,z'
'-x,-y,-z'
'-x,y+1/2,-z'
'x,-y+1/2,z'
loop_
_atom_site_label
_atom_site_fract_x
_atom_site_fract_y
_atom_site_fract_z
Hf1 0.2094 0.2500 0.4239
Hf2 0.2768 0.7500 0.0700
Al1 0.3781 0.7500 0.7092
Ge1 0.1324 0.2500 0.7930
# Energy relative to the lowest polymorph listed for this composition in kJ per mole of atoms: 0.0
# D(E_F) in states/eV per cell: 4.26
# ΔH_f (0 K) in eV/atom: -0.558

=====

# HfAlGe2, optimized geometry, DFT GGA-PBE
data_HfAlGe2
_symmetry_space_group_name_H-M 'P 4/n m m'
_symmetry_Int_Tables_number 129
_cell_length_a 3.8829
_cell_length_b 3.8829
_cell_length_c 9.3652
_cell_angle_alpha 90.00
_cell_angle_beta 90.00
_cell_angle_gamma 90.00
loop_
_symmetry_equiv_pos_as_xyz
'x,y,z'
'-x,-y,-z'
'-y+1/2,x,z'
'y+1/2,-x,-z'
'-x+1/2,-y+1/2,z'
'x+1/2,y+1/2,-z'
'y,-x+1/2,z'
'-y,x+1/2,-z'
'x+1/2,-y,-z'
'-x+1/2,y,z'
'-y,-x,-z'
'y,x,z'
'-x,y+1/2,-z'
'x,-y+1/2,z'
'y+1/2,x+1/2,-z'
'-y+1/2,-x+1/2,z'
loop_
_atom_site_label
_atom_site_fract_x
_atom_site_fract_y
_atom_site_fract_z
Hf1 0.2500 0.2500 0.2353
Al1 0.2500 0.7500 0.5000
Ge1 0.2500 0.2500 0.7184
Ge2 0.2500 0.7500 0.0000
# D(E_F) in states/eV per cell: 3.44
# ΔH_f (0 K) in eV/atom: -0.274

=====

# Hf2AlGe, optimized geometry, DFT GGA-PBE
data_Hf2AlGe
_symmetry_space_group_name_H-M 'I -4 2 d'
_symmetry_Int_Tables_number 122
_symmetry_space_group_name_Hall 'I -4 2bw'
_cell_length_a 7.4303
_cell_length_b 7.4303
_cell_length_c 5.8555
_cell_angle_alpha 90.00
_cell_angle_beta 90.00
_cell_angle_gamma 90.00
loop_
_atom_site_label
_atom_site_fract_x
_atom_site_fract_y
_atom_site_fract_z
Hf1 0.2399 0.7500 0.1250
Al1 0.0000 0.0000 0.5000
Ge1 0.0000 0.0000 0.0000
# Energy relative to the lowest polymorph listed for this composition in kJ per mole of atoms: 41.7
# D(E_F) in states/eV per cell: 9.01
# ΔH_f (0 K) in eV/atom: -0.127

=====

# HfAlGe, optimized geometry, DFT GGA-PBE
data_HfAlGe
_symmetry_space_group_name_H-M 'I 4 m m'
_symmetry_Int_Tables_number 107
_symmetry_space_group_name_Hall 'I 4 -2'
_cell_length_a 3.7302
_cell_length_b 3.7302
_cell_length_c 8.1839
_cell_angle_alpha 90.00
_cell_angle_beta 90.00
_cell_angle_gamma 90.00
loop_
_atom_site_label
_atom_site_fract_x
_atom_site_fract_y
_atom_site_fract_z
Hf1 0.0000 0.0000 0.0000
Al1 0.0000 0.0000 0.3437
Ge1 0.0000 0.0000 0.6525
# D(E_F) in states/eV per cell: 4.69
# ΔH_f (0 K) in eV/atom: -0.077

=====

# Hf3AlGe2, optimized geometry, DFT GGA-PBE
data_Hf3AlGe2
_symmetry_space_group_name_H-M 'P n m a'
_symmetry_Int_Tables_number 62
_cell_length_a 11.0637
_cell_length_b 3.9185
_cell_length_c 10.3615
_cell_angle_alpha 90.00
_cell_angle_beta 90.00
_cell_angle_gamma 90.00
loop_
_symmetry_equiv_pos_as_xyz
'x,y,z'
'-x,-y,-z'
'-x+1/2,-y,z+1/2'
'x+1/2,y,-z+1/2'
'x+1/2,-y+1/2,-z+1/2'
'-x+1/2,y+1/2,z+1/2'
'-x,y+1/2,-z'
'x,-y+1/2,z'
loop_
_atom_site_label
_atom_site_fract_x
_atom_site_fract_y
_atom_site_fract_z
Hf1 0.0419 0.2500 0.1175
Hf2 0.1269 0.7500 0.5725
Hf3 0.2148 0.2500 0.7921
Al1 0.1277 0.2500 0.3777
Ge1 0.0134 0.7500 0.3044
Ge2 0.1879 0.7500 0.0121
# D(E_F) in states/eV per cell: 9.16
# ΔH_f (0 K) in eV/atom: -0.486

=====

Question: Look up the D(E_F) of the second one.
Answer: 3.79 states/eV per cell